A plane-wave DFT calculation with PBE was carried out for an optimized crystal structure of Ba3Ac3CdO8.

Results
M_tot, μB per formula unit: 0.00
Formation energy without anion corrections, eV/f.u.: -37.35
Symmetry: R-3m, No. 166
E_tot, eV/cell: -96.0
Theoretical density, g cm⁻³: 7.1

Cell and atoms, written as extended XYZ:
```
15
Lattice="-0.129 6.728 3.377 -1.634 -6.214 3.924 7.261 1.252 -2.217" Properties=species:S:1:pos:R:3 pbc="T T T"
Ac 3.566 3.990 0.580
Ac 2.749 0.883 2.543
Ac 2.813 -2.481 0.854
O 3.503 -3.629 3.042
O 4.357 2.896 2.789
O 1.141 -1.131 2.296
O 1.154 2.195 4.065
O 4.344 -0.429 1.021
O 1.995 5.394 2.043
O 3.437 -0.165 4.781
O 2.061 1.931 0.305
Cd 3.630 0.626 -1.108
Ba -0.817 -3.107 1.962
Ba 0.000 0.000 0.000
Ba -0.882 0.257 3.651
```